(1)
Here is a geometry-optimized DyH2F6 structure from Alexandria. Energies are from PBE.

Distance to the lowest polymorph of the same formula in eV per atom: 0.0134
Size of the total moment in μB/f.u.: 1.1

a = 6.072 Å, b = 6.238 Å, c = 6.238 Å
α = 76.01°, β = 69.48°, γ = 69.48°
Site moments in Bohr magnetons follow the coordinates.
Atoms (fractional coordinates):
F 0.626 0.946 0.859  0.45
F 0.994 0.442 0.233  0.03
F 0.006 0.558 0.767  0.03
H 0.519 0.411 0.304  0.00
F 0.537 0.568 0.193  0.03
H 0.981 0.696 0.589  0.00
Dy 0.250 0.203 0.797  -0.03
H 0.019 0.304 0.411  0.00
F 0.506 0.767 0.558  0.03
F 0.126 0.859 0.946  0.45
F 0.494 0.233 0.442  0.03
H 0.481 0.589 0.696  0.00
F 0.374 0.054 0.141  0.45
Dy 0.750 0.797 0.203  -0.03
F 0.463 0.432 0.807  0.03
F 0.037 0.193 0.568  0.03
F 0.874 0.141 0.054  0.45
F 0.963 0.807 0.432  0.03

---

(2)
Here is a geometry-optimized Zr2BeZnBr structure from Alexandria. Energies are from PBE.

Size of the total moment in μB/f.u.: 0.0
D(E_F) in states/eV/cell: 6.3
Formation energy from raw total energies in eV/f.u.: 4.80

a = 4.953 Å, b = 4.762 Å, c = 4.953 Å
α = 90.00°, β = 90.00°, γ = 90.00°
Atoms (fractional coordinates):
Br 0.000 0.000 0.000
Zr 0.500 0.000 0.000
Zr 0.000 0.000 0.500
Be 0.500 0.500 0.500
Zn 0.000 0.500 0.000

---

(3)
Here is a geometry-optimized Ti2CoNi2 structure from Alexandria. Energies are from PBE.

Distance to the lowest polymorph of the same formula in eV per atom: 0.0199
Size of the total moment in μB/f.u.: 0.0
D(E_F) in states/eV/cell: 12.6
Energy of formation from the pure elements in meV/atom: -224

a = 4.756 Å, b = 5.390 Å, c = 6.350 Å
α = 115.11°, β = 111.99°, γ = 90.00°
Atoms (fractional coordinates):
Ni 0.405 0.053 0.811
Co 0.250 0.500 0.000
Ti 0.170 0.868 0.340
Ni 0.595 0.947 0.189
Ti 0.830 0.132 0.660
Ti 0.670 0.473 0.340
Ni 0.905 0.758 0.811
Ti 0.330 0.527 0.660
Co 0.750 0.500 0.000
Ni 0.095 0.242 0.189

---

(4)
Here is a geometry-optimized CoSiRu structure from Alexandria. Energies are from PBE.

Size of the total moment in μB/f.u.: 1.2
D(E_F) in states/eV/cell: 6.3
Formation energy from raw total energies in eV/f.u.: -1.12

a = 3.553 Å, b = 3.553 Å, c = 5.884 Å
α = 90.00°, β = 90.00°, γ = 90.00°
Site moments in Bohr magnetons follow the coordinates.
Atoms (fractional coordinates):
Si 0.250 0.250 0.744  -0.03
Co 0.750 0.250 0.000  0.69
Ru 0.750 0.750 0.657  0.54
Si 0.750 0.750 0.256  -0.03
Ru 0.250 0.250 0.343  0.54
Co 0.250 0.750 0.000  0.69

---

(5)
Here is a geometry-optimized KCd3Re structure from Alexandria. Energies are from PBE.

Distance to the lowest polymorph of the same formula in eV per atom: 1.2286
Size of the total moment in μB/f.u.: 4.3
D(E_F) in states/eV/cell: 8.0
Energy of formation from the pure elements in meV/atom: 1857

a = 6.173 Å, b = 6.173 Å, c = 6.173 Å
α = 90.00°, β = 90.00°, γ = 90.00°
Site moments in Bohr magnetons follow the coordinates.
Atoms (fractional coordinates):
Cd 0.000 0.500 0.000  -0.01
Cd 0.000 0.000 0.500  0.00
K 0.000 0.000 0.000  -0.01
Re 0.500 0.500 0.500  3.92
Cd 0.500 0.000 0.000  -0.01

---

(6)
Here is a geometry-optimized SrCa2As2 structure from Alexandria. Energies are from PBE.

Distance to the lowest polymorph of the same formula in eV per atom: 0.2023
Size of the total moment in μB/f.u.: 0.0
D(E_F) in states/eV/cell: 0.2
Energy of formation from the pure elements in meV/atom: -979

a = 8.415 Å, b = 8.415 Å, c = 3.963 Å
α = 90.00°, β = 90.00°, γ = 90.00°
Atoms (fractional coordinates):
Sr 0.000 0.000 0.000
As 0.166 0.334 0.000
Ca 0.137 0.637 0.500
As 0.666 0.166 0.000
As 0.834 0.666 0.000
Sr 0.500 0.500 0.000
Ca 0.863 0.363 0.500
As 0.334 0.834 0.000
Ca 0.363 0.137 0.500
Ca 0.637 0.863 0.500

---

(7)
Here is a geometry-optimized Ta5Ru structure from Alexandria. Energies are from PBE.

Distance to the lowest polymorph of the same formula in eV per atom: 0.0187
Size of the total moment in μB/f.u.: 0.0
D(E_F) in states/eV/cell: 4.6
Energy of formation from the pure elements in meV/atom: -188

a = 3.243 Å, b = 3.243 Å, c = 9.950 Å
α = 90.00°, β = 90.00°, γ = 90.00°
Atoms (fractional coordinates):
Ru 0.500 0.500 0.000
Ta 0.500 0.500 0.331
Ta 0.000 0.000 0.159
Ta 0.000 0.000 0.841
Ta 0.500 0.500 0.669
Ta 0.000 0.000 0.500

---

(8)
Here is a geometry-optimized Er6Te3PS2 structure from Alexandria. Energies are from PBE.

Size of the total moment in μB/f.u.: 0.0
D(E_F) in states/eV/cell: 3.4
Formation energy from raw total energies in eV/f.u.: -19.09

a = 7.007 Å, b = 7.007 Å, c = 7.326 Å
α = 99.19°, β = 99.19°, γ = 119.98°
Atoms (fractional coordinates):
S 0.333 0.667 0.000
Er 0.262 0.262 0.796
Er 0.068 0.398 0.204
Te 0.500 0.500 0.500
Er 0.932 0.602 0.796
Te 0.833 0.167 0.500
S 0.667 0.333 0.000
Er 0.398 0.068 0.204
Er 0.602 0.932 0.796
Er 0.738 0.738 0.204
P 0.000 0.000 0.000
Te 0.167 0.833 0.500

---

(9)
Here is a geometry-optimized Mg3NbO4 structure from Alexandria. Energies are from PBE.

Size of the total moment in μB/f.u.: 0.7
D(E_F) in states/eV/cell: 3.2
Formation energy from raw total energies in eV/f.u.: -16.93

a = 4.381 Å, b = 4.381 Å, c = 4.381 Å
α = 90.00°, β = 90.00°, γ = 90.00°
Site moments in Bohr magnetons follow the coordinates.
Atoms (fractional coordinates):
O 0.500 0.000 0.000  0.03
O 0.000 0.500 0.000  0.03
Mg 0.000 0.500 0.500  0.00
Mg 0.500 0.000 0.500  0.00
O 0.000 0.000 0.500  0.03
Nb 0.000 0.000 0.000  0.55
Mg 0.500 0.500 0.000  0.00
O 0.500 0.500 0.500  0.00

---

(10)
Here is a geometry-optimized La3PbO structure from Alexandria. Energies are from PBE.

Size of the total moment in μB/f.u.: 0.0
D(E_F) in states/eV/cell: 8.7
Formation energy from raw total energies in eV/f.u.: -6.78

a = 17.916 Å, b = 6.621 Å, c = 6.621 Å
α = 133.71°, β = 143.54°, γ = 36.46°
Atoms (fractional coordinates):
La 0.940 0.414 0.586
La 0.060 0.586 0.414
La 0.188 0.704 0.296
La 0.661 0.200 0.800
La 0.812 0.296 0.704
Pb 0.589 0.004 0.996
O 0.927 0.952 0.048
La 0.339 0.800 0.200
Pb 0.411 0.996 0.004
O 0.073 0.048 0.952

---

(11)
Here is a geometry-optimized Mn2MoP structure from Alexandria. Energies are from PBE.

Size of the total moment in μB/f.u.: 0.7
D(E_F) in states/eV/cell: 4.9
Energy of formation from the pure elements in meV/atom: 67

a = 7.974 Å, b = 7.974 Å, c = 7.974 Å
α = 19.55°, β = 19.55°, γ = 19.55°
Site moments in Bohr magnetons follow the coordinates.
Atoms (fractional coordinates):
Mo 0.250 0.250 0.250  -0.02
P 0.750 0.750 0.750  -0.01
Mn 0.009 0.009 0.009  0.37
Mn 0.491 0.491 0.491  0.37

---

(12)
Here is a geometry-optimized Mg2ZnCd4 structure from Alexandria. Energies are from PBE.

Distance to the lowest polymorph of the same formula in eV per atom: 0.0000
Size of the total moment in μB/f.u.: 0.0
D(E_F) in states/eV/cell: 2.9
Energy of formation from the pure elements in meV/atom: -34

a = 5.259 Å, b = 5.237 Å, c = 14.941 Å
α = 88.86°, β = 77.44°, γ = 130.10°
Atoms (fractional coordinates):
Cd 0.287 0.531 0.838
Mg 0.287 0.363 0.425
Zn 0.610 0.253 0.818
Cd 0.500 0.000 0.500
Mg 0.713 0.637 0.575
Cd 0.713 0.469 0.162
Mg 0.882 0.757 0.930
Cd 0.500 0.000 0.000
Mg 0.118 0.243 0.070
Cd 0.947 0.285 0.637
Cd 0.140 0.929 0.714
Zn 0.390 0.747 0.182
Cd 0.053 0.715 0.363
Cd 0.860 0.071 0.286

---

(13)
Here is a geometry-optimized GaNi2Bi structure from Alexandria. Energies are from PBE.

Size of the total moment in μB/f.u.: 0.0
D(E_F) in states/eV/cell: 7.0
Energy of formation from the pure elements in meV/atom: 216

a = 4.269 Å, b = 4.269 Å, c = 8.631 Å
α = 75.68°, β = 75.68°, γ = 90.00°
Atoms (fractional coordinates):
Ni 0.875 0.803 0.750
Ni 0.553 0.125 0.250
Ga 0.250 0.750 0.500
Bi 0.000 0.000 0.000
Ga 0.500 0.500 0.000
Ni 0.197 0.625 0.250
Bi 0.750 0.250 0.500
Ni 0.375 0.447 0.750

---

(14)
Here is a geometry-optimized Ce3SmPu2P6 structure from Alexandria. Energies are from PBE.

Size of the total moment in μB/f.u.: 11.9
D(E_F) in states/eV/cell: 25.9
Energy of formation from the pure elements in meV/atom: -1399

a = 7.042 Å, b = 7.042 Å, c = 7.025 Å
α = 99.62°, β = 99.62°, γ = 120.00°
Site moments in Bohr magnetons follow the coordinates.
Atoms (fractional coordinates):
Sm 0.000 0.000 0.000  0.04
Pu 0.333 0.667 0.000  5.00
Ce 0.500 0.500 0.500  0.49
P 0.421 0.083 0.247  -0.07
P 0.743 0.743 0.246  -0.07
Ce 0.835 0.165 0.500  0.49
P 0.083 0.421 0.247  -0.07
Ce 0.165 0.835 0.500  0.49
P 0.917 0.579 0.753  -0.07
Pu 0.667 0.333 0.000  5.00
P 0.579 0.917 0.753  -0.07
P 0.257 0.257 0.754  -0.07

---

(15)
Here is a geometry-optimized RbYTa3 structure from Alexandria. Energies are from PBE.

Distance to the lowest polymorph of the same formula in eV per atom: 0.0000
Size of the total moment in μB/f.u.: 0.0
D(E_F) in states/eV/cell: 8.0
Energy of formation from the pure elements in meV/atom: 2506

a = 5.228 Å, b = 5.228 Å, c = 5.228 Å
α = 90.00°, β = 90.00°, γ = 90.00°
Atoms (fractional coordinates):
Ta 0.000 0.000 0.500
Ta 0.500 0.000 0.000
Ta 0.000 0.500 0.000
Rb 0.500 0.500 0.500
Y 0.000 0.000 0.000

---

(16)
Here is a geometry-optimized NiBi3N structure from Alexandria. Energies are from PBE.

Distance to the lowest polymorph of the same formula in eV per atom: 0.5392
Size of the total moment in μB/f.u.: 0.0
D(E_F) in states/eV/cell: 4.2
Formation energy from raw total energies in eV/f.u.: 6.43

a = 5.051 Å, b = 5.051 Å, c = 5.051 Å
α = 90.00°, β = 90.00°, γ = 90.00°
Atoms (fractional coordinates):
Bi 0.500 0.000 0.000
N 0.500 0.500 0.500
Bi 0.000 0.000 0.500
Ni 0.000 0.000 0.000
Bi 0.000 0.500 0.000

---

(17)
Here is a geometry-optimized Mn2Sb structure from Alexandria. Energies are from PBE.

Size of the total moment in μB/f.u.: 0.0
D(E_F) in states/eV/cell: 7.3
Formation energy from raw total energies in eV/f.u.: 1.47

a = 7.094 Å, b = 7.094 Å, c = 7.094 Å
α = 149.21°, β = 149.21°, γ = 44.11°
Atoms (fractional coordinates):
Sb 0.250 0.750 0.500
Mn 0.666 0.166 0.500
Sb 0.500 0.500 0.000
Mn 0.916 0.916 0.000
Mn 0.084 0.084 0.000
Mn 0.834 0.334 0.500

---

(18)
Here is a geometry-optimized CaMg2GaIr structure from Alexandria. Energies are from PBE.

Distance to the lowest polymorph of the same formula in eV per atom: 0.0000
Size of the total moment in μB/f.u.: 0.0
D(E_F) in states/eV/cell: 2.8
Energy of formation from the pure elements in meV/atom: -287

a = 5.009 Å, b = 5.009 Å, c = 4.826 Å
α = 90.00°, β = 90.00°, γ = 90.00°
Atoms (fractional coordinates):
Ir 0.000 0.000 0.000
Ga 0.000 0.000 0.500
Mg 0.500 0.000 0.000
Ca 0.500 0.500 0.500
Mg 0.000 0.500 0.000

---

(19)
Here is a geometry-optimized PrHo2PaAs4 structure from Alexandria. Energies are from PBE.

Size of the total moment in μB/f.u.: 0.4
D(E_F) in states/eV/cell: 5.6
Energy of formation from the pure elements in meV/atom: -1393

a = 4.151 Å, b = 7.145 Å, c = 7.200 Å
α = 70.53°, β = 90.00°, γ = 90.00°
Site moments in Bohr magnetons follow the coordinates.
Atoms (fractional coordinates):
As 0.500 0.247 0.744  -0.01
Pa 0.000 0.500 0.500  0.31
As 0.500 0.753 0.256  -0.01
Pr 0.500 0.500 0.000  0.01
Ho 0.000 0.000 0.000  0.01
Ho 0.500 0.000 0.500  0.00
As 0.000 0.756 0.738  0.00
As 0.000 0.244 0.262  0.00

---

(20)
Here is a geometry-optimized K2PuCuI6 structure from Alexandria. Energies are from PBE.

Size of the total moment in μB/f.u.: 5.0
D(E_F) in states/eV/cell: 23.2
Formation energy from raw total energies in eV/f.u.: -9.97

a = 8.419 Å, b = 9.265 Å, c = 10.794 Å
α = 90.00°, β = 88.83°, γ = 90.00°
Site moments in Bohr magnetons follow the coordinates.
Atoms (fractional coordinates):
K 0.473 0.403 0.247  0.00
I 0.670 0.290 0.950  -0.04
Pu 0.000 0.500 0.500  5.18
Pu 0.500 0.000 0.000  5.18
Cu 0.500 0.000 0.500  -0.03
I 0.806 0.828 0.947  -0.04
K 0.973 0.097 0.747  0.00
I 0.306 0.672 0.447  -0.04
I 0.694 0.328 0.553  -0.04
I 0.601 0.025 0.281  -0.03
I 0.830 0.790 0.550  -0.04
I 0.101 0.475 0.781  -0.03
K 0.527 0.597 0.753  0.00
I 0.194 0.172 0.053  -0.04
Cu 0.000 0.500 0.000  -0.03
K 0.027 0.903 0.253  0.00
I 0.399 0.975 0.719  -0.03
I 0.170 0.210 0.450  -0.04
I 0.899 0.525 0.219  -0.03
I 0.330 0.710 0.050  -0.04

---

(21)
Here is a geometry-optimized Sm4Ga structure from Alexandria. Energies are from PBE.

Distance to the lowest polymorph of the same formula in eV per atom: 0.0000
Size of the total moment in μB/f.u.: 0.0
D(E_F) in states/eV/cell: 14.5
Energy of formation from the pure elements in meV/atom: -63

a = 7.560 Å, b = 7.560 Å, c = 7.560 Å
α = 105.50°, β = 105.50°, γ = 117.75°
Atoms (fractional coordinates):
Sm 0.590 0.900 0.310
Sm 0.160 0.970 0.810
Sm 0.160 0.350 0.190
Sm 0.720 0.410 0.310
Sm 0.590 0.280 0.690
Sm 0.030 0.840 0.190
Sm 0.650 0.840 0.810
Ga 0.250 0.750 0.500
Sm 0.100 0.410 0.690
Ga 0.500 0.500 0.000

---

(22)
Here is a geometry-optimized CaScGe3 structure from Alexandria. Energies are from PBE.

Size of the total moment in μB/f.u.: 0.0
D(E_F) in states/eV/cell: 3.9
Energy of formation from the pure elements in meV/atom: 743

a = 5.173 Å, b = 5.173 Å, c = 5.173 Å
α = 90.00°, β = 90.00°, γ = 90.00°
Atoms (fractional coordinates):
Sc 0.500 0.500 0.500
Ge 0.500 0.000 0.000
Ge 0.000 0.500 0.000
Ca 0.000 0.000 0.000
Ge 0.000 0.000 0.500

---

(23)
Here is a geometry-optimized KV3Cu structure from Alexandria. Energies are from PBE.

Distance to the lowest polymorph of the same formula in eV per atom: 0.0000
Size of the total moment in μB/f.u.: 9.7
D(E_F) in states/eV/cell: 10.1
Energy of formation from the pure elements in meV/atom: 1428

a = 4.886 Å, b = 4.886 Å, c = 4.886 Å
α = 90.00°, β = 90.00°, γ = 90.00°
Site moments in Bohr magnetons follow the coordinates.
Atoms (fractional coordinates):
V 0.000 0.500 0.000  2.53
Cu 0.000 0.000 0.000  0.17
V 0.500 0.000 0.000  2.53
K 0.500 0.500 0.500  0.06
V 0.000 0.000 0.500  2.53

---

(24)
Here is a geometry-optimized Ge2TeN structure from Alexandria. Energies are from PBE.

Distance to the lowest polymorph of the same formula in eV per atom: 0.0228
Size of the total moment in μB/f.u.: 0.0
D(E_F) in states/eV/cell: 5.2
Formation energy from raw total energies in eV/f.u.: 1.69

a = 6.507 Å, b = 6.507 Å, c = 5.928 Å
α = 56.71°, β = 56.71°, γ = 90.00°
Atoms (fractional coordinates):
N 0.250 0.750 0.500
N 0.500 0.500 0.000
Te 0.000 0.000 0.000
Ge 0.375 0.478 0.750
Ge 0.522 0.125 0.250
Ge 0.228 0.625 0.250
Te 0.750 0.250 0.500
Ge 0.875 0.772 0.750